Computed, not measured: an optimized crystal structure of P2W7O25 at the PBE+U level of DFT.

Summary:
Mass density in g/cm3: 5.853
Raw total energy in eV for the cell shown: -510.12

Lattice parameters (Å, degrees): 5.416 6.716 27.814 90.00 101.21 90.00
Positions (direct):
P 0.216 0.198 0.209
P 0.216 0.302 0.709
P 0.784 0.698 0.291
P 0.784 0.802 0.791
W 0.000 0.000 0.500
W 0.000 0.500 0.000
W 0.117 0.661 0.614
W 0.117 0.839 0.114
W 0.327 0.003 0.329
W 0.327 0.497 0.829
W 0.445 0.669 0.444
W 0.445 0.831 0.944
W 0.555 0.169 0.056
W 0.555 0.331 0.556
W 0.673 0.503 0.171
W 0.673 0.997 0.671
W 0.883 0.161 0.886
W 0.883 0.339 0.386
O 0.018 0.667 0.801
O 0.018 0.833 0.301
O 0.062 0.669 0.061
O 0.062 0.831 0.561
O 0.115 0.182 0.353
O 0.115 0.318 0.853
O 0.144 0.514 0.413
O 0.144 0.986 0.913
O 0.178 0.011 0.177
O 0.178 0.489 0.677
O 0.239 0.656 0.974
O 0.239 0.844 0.474
O 0.256 0.134 0.263
O 0.256 0.366 0.763
O 0.268 0.183 0.532
O 0.268 0.317 0.032
O 0.363 0.511 0.591
O 0.363 0.989 0.091
O 0.379 0.657 0.884
O 0.379 0.843 0.384
O 0.391 0.662 0.151
O 0.391 0.838 0.651
O 0.455 0.189 0.702
O 0.455 0.311 0.202
O 0.500 0.000 0.000
O 0.500 0.500 0.500
O 0.545 0.689 0.798
O 0.545 0.811 0.298
O 0.609 0.162 0.349
O 0.609 0.338 0.849
O 0.621 0.157 0.616
O 0.621 0.343 0.116
O 0.637 0.011 0.909
O 0.637 0.489 0.409
O 0.732 0.683 0.968
O 0.732 0.817 0.468
O 0.744 0.634 0.237
O 0.744 0.866 0.737
O 0.761 0.156 0.526
O 0.761 0.344 0.026
O 0.822 0.511 0.323
O 0.822 0.989 0.823
O 0.856 0.014 0.087
O 0.856 0.486 0.587
O 0.885 0.682 0.147
O 0.885 0.818 0.647
O 0.938 0.169 0.439
O 0.938 0.331 0.939
O 0.982 0.167 0.699
O 0.982 0.333 0.199